(1)
Here is crystalline Y2Er2Lu3Ni2Te2 at its relaxed geometry from the Open Quantum Materials Database. Energies are from PBE.

Cell and atoms, written as POSCAR:
```
Y2Er2Lu3Ni2Te2
1.0
-5.0023 0.4658 7.7703
-3.9203 2.7650 -7.9122
2.7455 -6.0753 6.4165
Te Lu Er Ni Y
2 3 2 2 2
Direct
0.6428 0.1428 0.5000
0.2381 0.2381 0.0000
0.9110 0.0958 0.8151
0.9762 0.4762 0.5000
0.2807 0.0958 0.1849
0.8952 0.7480 0.1472
0.6008 0.7480 0.8528
0.6701 0.4061 0.2640
0.1420 0.4061 0.7360
0.2628 0.8946 0.3682
0.5264 0.8946 0.6318
```

Output
size of the total moment	0.002	μB per formula unit
DFT total energy	-5.50	eV/atom

(2)
Here is crystalline Y4Er2LuNi2Te2 at its relaxed geometry from the Open Quantum Materials Database. Energies are from PBE.

Cell and atoms, written as POSCAR:
```
Y4Er2LuNi2Te2
1.0
-1.9167 7.7684 4.8188
1.9167 -7.7684 4.8188
1.9167 7.7684 -4.8188
Y Ni Te Lu Er
4 2 2 1 2
Direct
0.0271 0.8959 0.1312
0.7822 0.0974 0.6849
0.7648 0.8959 0.8688
0.4125 0.0974 0.3151
0.6374 0.4013 0.2361
0.1652 0.4013 0.7639
0.7386 0.2386 0.5000
0.1424 0.1424 0.0000
0.4755 0.4755 0.0000
0.1052 0.7502 0.3549
0.3953 0.7502 0.6451
```

Output
size of the total moment	0.009	μB per formula unit
DFT total energy	-5.84	eV/atom

(3)
Here is crystalline Y2Er2Lu3Ni2Te2 at its relaxed geometry from the Open Quantum Materials Database. Energies are from PBE.

Cell and atoms, written as POSCAR:
```
Y2Er2Lu3Ni2Te2
1.0
-1.9115 7.7168 4.7421
1.9115 -7.7168 4.7421
1.9115 7.7168 -4.7421
Er Te Ni Y Lu
2 2 2 2 3
Direct
0.2617 0.8944 0.3673
0.5271 0.8944 0.6327
0.6403 0.1403 0.5000
0.2407 0.2407 0.0000
0.1458 0.4070 0.7388
0.6682 0.4070 0.2612
0.5992 0.7458 0.8534
0.8924 0.7458 0.1466
0.9122 0.0967 0.8155
0.9772 0.4772 0.5000
0.2812 0.0967 0.1845
```

Output
size of the total moment	0.004	μB per formula unit
DFT total energy	-5.50	eV/atom

(4)
Here is crystalline Y4Er2LuNi2Te2 at its relaxed geometry from the Open Quantum Materials Database. Energies are from PBE.

Cell and atoms, written as POSCAR:
```
Y4Er2LuNi2Te2
1.0
2.7958 0.2068 8.8927
-9.1508 0.1976 -1.7787
8.3616 -3.9206 1.2853
Y Te Lu Er Ni
4 2 1 2 2
Direct
0.3924 0.7464 0.6460
0.7635 0.8949 0.8686
0.1004 0.7464 0.3540
0.0263 0.8949 0.1314
0.1417 0.1417 0.0000
0.7402 0.2402 0.5000
0.4773 0.4773 0.0000
0.4116 0.0961 0.3156
0.7805 0.0961 0.6844
0.6440 0.4061 0.2380
0.1681 0.4061 0.7620
```

Output
size of the total moment	0.014	μB per formula unit
DFT total energy	-5.85	eV/atom

(5)
Here is crystalline YEr4Lu2Ni2Te2 at its relaxed geometry from the Open Quantum Materials Database. Energies are from PBE.

Cell and atoms, written as POSCAR:
```
YEr4Lu2Ni2Te2
1.0
-1.9081 7.7150 4.7364
1.9081 -7.7150 4.7364
1.9081 7.7150 -4.7364
Te Er Lu Y Ni
2 4 2 1 2
Direct
0.7419 0.2419 0.5000
0.1412 0.1412 0.0000
0.4116 0.0970 0.3146
0.0276 0.8952 0.1325
0.7627 0.8952 0.8676
0.7824 0.0970 0.6854
0.0992 0.7466 0.3526
0.3939 0.7466 0.6474
0.4767 0.4767 0.0000
0.1665 0.4044 0.7621
0.6423 0.4044 0.2379
```

Output
size of the total moment	0.011	μB per formula unit
DFT total energy	-5.34	eV/atom

(6)
Here is crystalline Y2Er2Lu3Ni2Te2 at its relaxed geometry from the Open Quantum Materials Database. Energies are from PBE.

Cell and atoms, written as POSCAR:
```
Y2Er2Lu3Ni2Te2
1.0
0.8441 -1.7365 9.0800
0.8256 8.7846 -2.8851
-4.4806 -7.6934 2.6288
Lu Er Y Te Ni
3 2 2 2 2
Direct
0.4757 0.4757 0.0000
0.0286 0.8951 0.1334
0.7617 0.8951 0.8666
0.3941 0.7478 0.6463
0.1014 0.7478 0.3537
0.4145 0.0987 0.3157
0.7830 0.0987 0.6843
0.7439 0.2439 0.5000
0.1381 0.1381 0.0000
0.1626 0.4025 0.7601
0.6424 0.4025 0.2399
```

Output
size of the total moment	0.001	μB per formula unit
DFT total energy	-5.48	eV/atom

(7)
Here is crystalline Y4Er2LuNi2Te2 at its relaxed geometry from the Open Quantum Materials Database. Energies are from PBE.

Cell and atoms, written as POSCAR:
```
Y4Er2LuNi2Te2
1.0
-1.9201 7.7879 4.7858
1.9201 -7.7879 4.7858
1.9201 7.7879 -4.7858
Te Ni Er Y Lu
2 2 2 4 1
Direct
0.1388 0.1388 0.0000
0.7419 0.2419 0.5000
0.1642 0.4041 0.7601
0.6440 0.4041 0.2399
0.0276 0.8948 0.1328
0.7620 0.8948 0.8672
0.4140 0.0980 0.3161
0.7819 0.0980 0.6839
0.3925 0.7473 0.6452
0.1022 0.7473 0.3548
0.4769 0.4769 0.0000
```

Output
size of the total moment	0.027	μB per formula unit
DFT total energy	-5.84	eV/atom

(8)
Here is crystalline YEr2Lu4Ni2Te2 at its relaxed geometry from the Open Quantum Materials Database. Energies are from PBE.

Cell and atoms, written as POSCAR:
```
YEr2Lu4Ni2Te2
1.0
-1.4378 -8.0298 -4.2609
-7.3058 4.9240 2.6607
6.9459 -2.4348 -5.5251
Lu Ni Te Er Y
4 2 2 2 1
Direct
0.7610 0.8946 0.8664
0.0282 0.8946 0.1336
0.3942 0.7464 0.6478
0.0987 0.7464 0.3522
0.6425 0.4040 0.2386
0.1654 0.4040 0.7614
0.1385 0.1385 0.0000
0.7444 0.2444 0.5000
0.4126 0.0985 0.3142
0.7843 0.0985 0.6858
0.4763 0.4763 0.0000
```

Output
size of the total moment	0.002	μB per formula unit
DFT total energy	-5.33	eV/atom